First-principles (PBE) data for Mg2Ge2Rh5Au after structural relaxation, as listed in Alexandria via LeMat-Bulk.

Its crystal system is tetragonal. Its formation energy is -0.3988 eV per atom.

abc: 9.5883 9.5883 3.5197
angles: 90.00 90.00 90.00
Space group P4/mbm (No. 127)
Asymmetric unit:
Mg 0.1710 0.3290 0.0000
Ge 0.1295 0.6295 0.0000
Rh 0.0000 0.5000 0.5000
Rh 0.0728 0.7933 0.5000
Au 0.0000 0.0000 0.0000